Below is a geometry-optimized GeSe2N2 structure, with properties calculated at the PBE-GGA level.

Energy above the most stable polymorph in this dataset, meV per atom: 0
Space group: C2/m

Unit cell a=3.640 b=3.640 c=11.603 alpha=90.40 beta=90.40 gamma=59.71
Fractional coordinates of all 5 atoms:
Ge: 0.000 0.000 0.000
Se: 0.335 0.335 0.131
Se: 0.665 0.665 0.869
N: 0.032 0.032 0.455
N: 0.968 0.968 0.545

Below is a geometry-optimized TlNiRuCl6 structure, with properties calculated at the PBE-GGA level.

Space group: P312

Unit cell a=6.270 b=6.270 c=7.133 alpha=90.00 beta=90.00 gamma=120.00
Fractional coordinates of all 9 atoms:
Tl: 0.000 0.000 0.000
Ni: 0.333 0.667 0.500
Ru: 0.667 0.333 0.500
Cl: 0.373 0.005 0.688
Cl: 0.373 0.368 0.312
Cl: 0.632 0.005 0.312
Cl: 0.632 0.627 0.688
Cl: 0.995 0.368 0.688
Cl: 0.995 0.627 0.312

Below is a geometry-optimized PrDy2Zr structure, with properties calculated at the PBE-GGA level.

ΔH_f (0 K), eV per atom: 0.117
Energy above the most stable polymorph in this dataset, meV per atom: 29
Space group: P4/mmm

Unit cell a=4.912 b=4.912 c=4.932 alpha=90.00 beta=90.00 gamma=90.00
Fractional coordinates of all 4 atoms:
Pr: 0.000 0.000 0.000
Dy: 0.000 0.500 0.500
Dy: 0.500 0.000 0.500
Zr: 0.500 0.500 0.000

Below is a geometry-optimized ZrTlTe2As structure, with properties calculated at the PBE-GGA level.

Space group: P4/mmm

Unit cell a=5.682 b=5.682 c=5.243 alpha=90.00 beta=90.00 gamma=90.00
Fractional coordinates of all 5 atoms:
Zr: 0.000 0.000 0.000
Tl: 0.500 0.500 0.500
Te: 0.000 0.500 0.000
Te: 0.500 0.000 0.000
As: 0.000 0.000 0.500

Below is a geometry-optimized Nd8Ga2Pb structure, with properties calculated at the PBE-GGA level.

ΔH_f (0 K), eV per atom: -0.299
Space group: C2/m

Unit cell a=9.138 b=9.138 c=8.155 alpha=110.34 beta=110.34 gamma=31.67
Fractional coordinates of all 11 atoms:
Nd: 0.051 0.051 0.237
Nd: 0.168 0.168 0.753
Nd: 0.323 0.323 0.557
Nd: 0.399 0.399 0.044
Nd: 0.601 0.601 0.956
Nd: 0.677 0.677 0.443
Nd: 0.832 0.832 0.247
Nd: 0.949 0.949 0.763
Ga: 0.214 0.214 0.168
Ga: 0.786 0.786 0.832
Pb: 0.500 0.500 0.500

Below is a geometry-optimized Sm2Ag3SnTe6 structure, with properties calculated at the PBE-GGA level.

Space group: C2/m

Unit cell a=10.381 b=10.381 c=8.409 alpha=100.99 beta=100.99 gamma=24.17
Fractional coordinates of all 12 atoms:
Sm: 0.176 0.176 0.312
Sm: 0.824 0.824 0.688
Ag: 0.204 0.204 0.804
Ag: 0.500 0.500 0.500
Ag: 0.796 0.796 0.196
Sn: 0.500 0.500 0.000
Te: 0.014 0.014 0.275
Te: 0.335 0.335 0.422
Te: 0.341 0.341 0.961
Te: 0.659 0.659 0.039
Te: 0.665 0.665 0.578
Te: 0.986 0.986 0.725

Below is a geometry-optimized Cs3Dy2ZrS6 structure, with properties calculated at the PBE-GGA level.

Space group: C2/m

Unit cell a=6.940 b=6.940 c=8.397 alpha=97.93 beta=97.93 gamma=120.00
Fractional coordinates of all 12 atoms:
Cs: 0.000 0.000 0.000
Cs: 0.332 0.668 0.000
Cs: 0.668 0.332 0.000
Dy: 0.167 0.833 0.500
Dy: 0.833 0.167 0.500
Zr: 0.500 0.500 0.500
S: 0.119 0.440 0.319
S: 0.240 0.240 0.682
S: 0.440 0.119 0.319
S: 0.560 0.881 0.681
S: 0.760 0.760 0.318
S: 0.881 0.560 0.681

Below is a geometry-optimized KMgSi2Tc structure, with properties calculated at the PBE-GGA level.

Space group: P4/mmm

Unit cell a=4.695 b=4.695 c=5.177 alpha=90.00 beta=90.00 gamma=90.00
Fractional coordinates of all 5 atoms:
K: 0.000 0.000 0.000
Mg: 0.500 0.500 0.000
Si: 0.000 0.500 0.500
Si: 0.500 0.000 0.500
Tc: 0.500 0.500 0.500

Below is a geometry-optimized PaSe2S2 structure, with properties calculated at the PBE-GGA level.

Space group: C2/m

Unit cell a=4.130 b=4.130 c=11.187 alpha=92.45 beta=92.45 gamma=59.88
Fractional coordinates of all 5 atoms:
Pa: 0.000 0.000 0.000
Se: 0.322 0.322 0.860
Se: 0.678 0.678 0.140
S: 0.377 0.377 0.461
S: 0.623 0.623 0.539

Below is a geometry-optimized DyThSc2 structure, with properties calculated at the PBE-GGA level.

ΔH_f (0 K), eV per atom: 0.059
Energy above the most stable polymorph in this dataset, meV per atom: 40
Space group: Fm-3m

Unit cell a=5.418 b=5.418 c=5.418 alpha=60.00 beta=60.00 gamma=60.00
Fractional coordinates of all 4 atoms:
Dy: 0.000 0.000 0.000
Th: 0.500 0.500 0.500
Sc: 0.250 0.250 0.250
Sc: 0.750 0.750 0.750

Below is a geometry-optimized LiTe structure, with properties calculated at the PBE-GGA level.

Energy above the most stable polymorph in this dataset, meV per atom: 136
Space group: Fddd

Unit cell a=9.332 b=9.129 c=6.070 alpha=72.62 beta=69.00 gamma=38.37
Fractional coordinates of all 8 atoms:
Li: 0.069 0.681 0.069
Li: 0.319 0.931 0.319
Li: 0.681 0.069 0.681
Li: 0.931 0.319 0.931
Te: 0.011 0.011 0.739
Te: 0.261 0.261 0.989
Te: 0.739 0.739 0.011
Te: 0.989 0.989 0.261

Below is a geometry-optimized In2ReBr structure, with properties calculated at the PBE-GGA level.

Energy above the most stable polymorph in this dataset, meV per atom: 234
Space group: P4/mmm

Unit cell a=5.302 b=5.302 c=2.983 alpha=90.00 beta=90.00 gamma=90.00
Fractional coordinates of all 4 atoms:
In: 0.000 0.500 0.000
In: 0.500 0.000 0.000
Re: 0.000 0.000 0.500
Br: 0.500 0.500 0.500

Number 1: VASP energy -5.720 eV per atom. Number 2: VASP energy -3.802 eV per atom. Number 3: VASP energy -5.516 eV per atom. Number 4: VASP energy -4.621 eV per atom. Number 5: VASP energy -4.653 eV per atom. Number 6: VASP energy -4.017 eV per atom. Number 7: VASP energy -5.431 eV per atom. Number 8: VASP energy -4.795 eV per atom. Number 9: VASP energy -5.592 eV per atom. Number 10: VASP energy -6.113 eV per atom. Number 11: VASP energy -3.113 eV per atom. Number 12: VASP energy -4.345 eV per atom.